Entry 1:
Ga2Pb2S | PBE-GGA | optimized geometry

Unit cell a=4.776 b=4.776 c=11.731 alpha=90.00 beta=90.00 gamma=90.00
Space group I4/mmm (No. 139)
Unique sites:
Ga1 0.000 0.000 0.101 [4 per cell]
Pb1 0.000 0.500 0.250 [4 per cell]
S1 0.000 0.000 0.500 [2 per cell]

Computed properties:
calculated total energy	-32.3	eV/cell
D(E_F)	3.449	states/eV/cell

=====

Entry 2:
TaTlZn | PBE-GGA | optimized geometry

Unit cell a=3.0641 b=3.0641 c=7.3363 alpha=90.00 beta=90.00 gamma=120.00
Space group P3m1 (No. 156)
Unique sites:
Ta1 0.0000 0.0000 0.0000 [1 per cell]
Tl1 0.6667 0.3333 0.3538 [1 per cell]
Zn1 0.3333 0.6667 0.6989 [1 per cell]

Computed properties:
calculated total energy	-14.2	eV/cell
formation energy	0.4354	eV per atom
D(E_F)	3.606	states/eV/cell

=====

Entry 3:
CdIrSe2 | PBE-GGA | optimized geometry

Unit cell a=3.787 b=3.787 c=5.602 alpha=90.00 beta=90.00 gamma=90.00
Space group P4mm (No. 99)
Unique sites:
Cd1 0.000 0.000 0.000 [1 per cell]
Ir1 0.500 0.500 0.438 [1 per cell]
Se1 0.000 0.000 0.477 [1 per cell]
Se2 0.500 0.500 0.886 [1 per cell]

Computed properties:
calculated total energy	-16.3	eV/cell
D(E_F)	1.801	states/eV/cell

=====

Entry 4:
SmPaSe3 | PBE-GGA | optimized geometry

Unit cell a=7.904 b=4.032 c=16.086 alpha=90.00 beta=90.00 gamma=90.00
Space group Pnma (No. 62)
Unique sites:
Sm1 0.082 0.250 0.208 [4 per cell]
Pa1 0.241 0.750 0.461 [4 per cell]
Se1 0.005 0.250 0.400 [4 per cell]
Se2 0.116 0.750 0.072 [4 per cell]
Se3 0.189 0.250 0.780 [4 per cell]

Computed properties:
calculated total energy	-130.7	eV/cell
D(E_F)	17.885	states/eV/cell

=====

Entry 5:
Hg2TePb | PBE-GGA | optimized geometry

Unit cell a=3.991 b=5.533 c=10.351 alpha=90.00 beta=90.00 gamma=90.00
Space group Cmmm (No. 65)
Unique sites:
Hg1 0.000 0.000 0.248 [4 per cell]
Te1 0.000 0.500 0.000 [2 per cell]
Pb1 0.000 0.500 0.500 [2 per cell]

Computed properties:
calculated total energy	-14.3	eV/cell
D(E_F)	3.420	states/eV/cell

=====

Entry 6:
CsK2Na | PBE-GGA | optimized geometry

Unit cell a=10.372 b=10.372 c=10.372 alpha=90.00 beta=90.00 gamma=90.00
Space group Fm-3m (No. 225)
Unique sites:
Cs1 0.000 0.000 0.000 [4 per cell]
K1 0.250 0.250 0.250 [8 per cell]
Na1 0.000 0.000 0.500 [4 per cell]

Computed properties:
calculated total energy	-16.9	eV/cell
formation energy	0.0343	eV per atom
D(E_F)	12.770	states/eV/cell

=====

Entry 7:
Ba2AgBi3Pt4 | PBE-GGA | optimized geometry

Unit cell a=4.924 b=4.924 c=10.801 alpha=90.00 beta=90.00 gamma=90.00
Space group P-4m2 (No. 115)
Unique sites:
Ba1 0.000 0.500 0.248 [2 per cell]
Ag1 0.500 0.500 0.000 [1 per cell]
Bi1 0.000 0.000 0.000 [1 per cell]
Bi2 0.000 0.500 0.624 [2 per cell]
Pt1 0.000 0.000 0.500 [1 per cell]
Pt2 0.000 0.500 0.878 [2 per cell]
Pt3 0.500 0.500 0.500 [1 per cell]

Computed properties:
calculated total energy	-47.9	eV/cell
formation energy	-0.5370	eV per atom
D(E_F)	6.352	states/eV/cell

=====

Entry 8:
CsSi3Rh | PBE-GGA | optimized geometry

Unit cell a=4.866 b=4.866 c=4.866 alpha=90.00 beta=90.00 gamma=90.00
Space group Pm-3m (No. 221)
Unique sites:
Cs1 0.000 0.000 0.000 [1 per cell]
Si1 0.000 0.500 0.500 [3 per cell]
Rh1 0.500 0.500 0.500 [1 per cell]

Computed properties:
calculated total energy	-22.1	eV/cell
D(E_F)	5.245	states/eV/cell